# SiAg2Te (PBE-GGA, relaxed)
data_SiAg2Te
_space_group_name_H-M_alt 'C 1 2/m 1'
_space_group_IT_number 12
_cell_length_a 5.863
_cell_length_b 7.459
_cell_length_c 3.964
_cell_angle_alpha 90.00
_cell_angle_beta 101.28
_cell_angle_gamma 90.00
loop_
_space_group_symop_operation_xyz
'x,y,z'
'-x,-y,-z'
'-x,y,-z'
'x,-y,z'
'x+1/2,y+1/2,z'
'-x+1/2,-y+1/2,-z'
'-x+1/2,y+1/2,-z'
'x+1/2,-y+1/2,z'
loop_
_atom_site_label
_atom_site_type_symbol
_atom_site_fract_x
_atom_site_fract_y
_atom_site_fract_z
Si1 Si 0.000 0.000 0.000
Ag1 Ag 0.250 0.250 0.500
Te1 Te 0.000 0.500 0.000
# - relative energy among the computed polymorphs (meV per atom) = 155.6
# - energy relative to the elements, uncorrected (eV/atom) = 0.36
# - E_tot (Ry/atom) = -0.2360